# 1
First-principles (PBE-GGA) data for an optimized crystal structure of InAg2Cl5, as listed in the Alexandria database.

Output
Its crystal system is orthorhombic. The total DFT energy (no corrections) is -47.1 eV for the cell shown. As for the relative energy among the computed polymorphs: 0.007 eV per atom.

Unit cell a=5.333 b=7.188 c=12.784 alpha=90.00 beta=90.00 gamma=111.77
Positions (direct):
In 0.799 0.599 0.750
In 0.201 0.401 0.250
Ag 0.859 0.719 0.425
Ag 0.859 0.719 0.075
Ag 0.141 0.281 0.575
Ag 0.141 0.281 0.925
Cl 0.934 0.868 0.885
Cl 0.934 0.868 0.615
Cl 0.329 0.659 0.395
Cl 0.329 0.659 0.105
Cl 0.730 0.460 0.250
Cl 0.270 0.540 0.750
Cl 0.671 0.341 0.605
Cl 0.671 0.341 0.895
Cl 0.066 0.132 0.115
Cl 0.066 0.132 0.385

# 2
First-principles (PBE-GGA) data for an optimized crystal structure of PuReOs, as listed in the Alexandria database.

Output
Its crystal system is orthorhombic. The total DFT energy (no corrections) is -76.2 eV for the cell shown. The calculation puts the density of states at the Fermi level at 2.9969 states/eV per atom. As for the relative energy among the computed polymorphs: 0.000 eV per atom.

Unit cell a=5.389 b=5.389 c=5.389 alpha=89.89 beta=116.84 gamma=123.40
Last column: magnetic moment on the atom in μB.
Positions (direct):
Pu 0.250 0.128 0.378  4.82
Pu 0.750 0.872 0.622  4.82
Re 0.500 0.000 0.000  -0.12
Re 0.000 0.500 0.000  -0.12
Os 0.000 0.500 0.500  -0.31
Os 0.500 0.500 0.000  -0.31

# 3
First-principles (PBE-GGA) data for an optimized crystal structure of KTe2Au, as listed in the Alexandria database.

Output
Its crystal system is orthorhombic. The total DFT energy (no corrections) is -11.8 eV for the cell shown. The calculation puts the density of states at the Fermi level at 0.2644 states/eV per atom.

Unit cell a=4.943 b=4.943 c=8.675 alpha=90.00 beta=90.00 gamma=129.84
Positions (direct):
Au 0.500 0.500 0.250
K 0.500 0.500 0.750
Te 0.000 0.000 0.055
Te 0.000 0.000 0.445

# 4
First-principles (PBE-GGA) data for an optimized crystal structure of K3CaOs, as listed in the Alexandria database.

Output
Its crystal system is cubic. The total DFT energy (no corrections) is -10.4 eV for the cell shown. The calculation puts the density of states at the Fermi level at 0.8561 states/eV per atom. As for the relative energy among the computed polymorphs: 0.000 eV per atom.

Unit cell a=6.316 b=6.316 c=6.316 alpha=90.00 beta=90.00 gamma=90.00
Last column: magnetic moment on the atom in μB.
Positions (direct):
Ca 0.500 0.500 0.500  -0.07
Os 0.000 0.000 0.000  1.89
K 0.000 0.500 0.000  -0.01
K 0.000 0.000 0.500  -0.01
K 0.500 0.000 0.000  0.00

# 5
First-principles (PBE-GGA) data for an optimized crystal structure of Ac4Te2RhS, as listed in the Alexandria database.

Output
Its crystal system is monoclinic. The total DFT energy (no corrections) is -45.5 eV for the cell shown. The calculation puts the density of states at the Fermi level at 0.8324 states/eV per atom.

Unit cell a=4.415 b=7.866 c=8.182 alpha=108.05 beta=90.00 gamma=90.00
Positions (direct):
Ac 0.500 0.244 0.219
Ac 0.500 0.756 0.781
Ac 0.000 0.274 0.789
Ac 0.000 0.726 0.211
Te 0.500 0.000 0.500
Te 0.000 0.500 0.500
Rh 0.500 0.500 0.000
S 0.000 0.000 0.000

# 6
First-principles (PBE-GGA) data for an optimized crystal structure of TiCoC2Se, as listed in the Alexandria database.

Output
Its crystal system is tetragonal. The total DFT energy (no corrections) is -32.8 eV for the cell shown. The calculation puts the density of states at the Fermi level at 0.7259 states/eV per atom.

Unit cell a=3.569 b=5.526 c=3.569 alpha=90.00 beta=90.00 gamma=90.00
Last column: magnetic moment on the atom in μB.
Positions (direct):
C 0.000 0.000 0.500  0.10
C 0.500 0.000 0.000  0.03
Co 0.000 0.000 0.000  0.05
Se 0.500 0.500 0.500  -0.02
Ti 0.000 0.500 0.000  0.30